(1)
! AcNiBiAs | Alexandria | PBE | relaxed; values from VASP
! Calculated total energy   -4.826 eV/atom
! Calculated volume   24.6 Å³ per atom
! Mass density   9.6 Mg/m³
! ΔH_f (0 K)   -221 meV/atom
&SYSTEM
  ibrav = 0, nat = 16, ntyp = 4
/
ATOMIC_SPECIES
Ac 227.00 Ac.upf
Ni 58.69 Ni.upf
Bi 208.98 Bi.upf
As 74.92 As.upf
CELL_PARAMETERS angstrom
7.333 0.000 0.000
0.000 7.333 0.000
0.000 0.000 7.333
ATOMIC_POSITIONS angstrom
Ac 0.000 0.000 0.000
Ac 0.000 3.667 3.667
Ac 3.667 0.000 3.667
Ac 3.667 3.667 0.000
Ni 1.833 1.833 5.500
Ni 1.833 5.500 1.833
Ni 5.500 1.833 1.833
Ni 5.500 5.500 5.500
Bi 0.000 0.000 3.667
Bi 0.000 3.667 0.000
Bi 3.667 0.000 0.000
Bi 3.667 3.667 3.667
As 1.833 1.833 1.833
As 1.833 5.500 5.500
As 5.500 1.833 5.500
As 5.500 5.500 1.833

***

(2)
! AcBiAsO | Alexandria | PBE | relaxed; values from VASP
! Calculated total energy   -5.870 eV/atom
! Calculated volume   25.7 Å³ per atom
! Mass density   8.5 Mg/m³
&SYSTEM
  ibrav = 0, nat = 8, ntyp = 4
/
ATOMIC_SPECIES
Ac 227.00 Ac.upf
Bi 208.98 Bi.upf
As 74.92 As.upf
O 16.00 O.upf
CELL_PARAMETERS angstrom
4.429 0.000 0.000
0.000 4.429 0.000
0.000 0.000 10.498
ATOMIC_POSITIONS angstrom
Ac 1.107 1.107 1.185
Ac 3.322 3.322 9.313
Bi 1.107 3.322 5.249
Bi 3.322 1.107 5.249
As 1.107 1.107 7.557
As 3.322 3.322 2.941
O 1.107 3.322 0.000
O 3.322 1.107 0.000

***

(3)
! AcBiAs2O8 | Alexandria | PBE | relaxed; values from VASP
! Calculated total energy   -6.566 eV/atom
! Calculated volume   13.9 Å³ per atom
! Mass density   7.1 Mg/m³
&SYSTEM
  ibrav = 0, nat = 12, ntyp = 4
/
ATOMIC_SPECIES
Ac 227.00 Ac.upf
Bi 208.98 Bi.upf
As 74.92 As.upf
O 16.00 O.upf
CELL_PARAMETERS angstrom
-2.626 2.626 6.049
2.626 -2.626 6.049
2.626 2.626 -6.049
ATOMIC_POSITIONS angstrom
Ac 0.000 0.000 0.000
Bi 2.626 0.000 3.025
As 0.000 0.000 6.049
As 0.000 2.626 3.025
O 1.297 -0.658 5.111
O 1.968 1.328 0.938
O -0.739 1.347 2.121
O 1.328 3.283 -0.938
O 1.279 1.887 3.928
O 0.658 1.297 6.987
O 0.739 3.904 2.121
O -1.279 3.364 3.928

***

(4)
! Ac3BiAsO | Alexandria | PBE | relaxed; values from VASP
! Calculated total energy   -6.055 eV/atom
! Calculated volume   34.4 Å³ per atom
! Mass density   7.9 Mg/m³
&SYSTEM
  ibrav = 0, nat = 12, ntyp = 4
/
ATOMIC_SPECIES
Ac 227.00 Ac.upf
Bi 208.98 Bi.upf
As 74.92 As.upf
O 16.00 O.upf
CELL_PARAMETERS angstrom
9.557 0.000 0.000
0.000 4.509 0.000
-1.993 0.000 9.579
ATOMIC_POSITIONS angstrom
Ac 0.049 1.127 3.188
Ac 1.217 1.127 9.385
Ac 2.420 3.382 6.214
Ac 5.143 1.127 3.364
Ac 6.347 3.382 0.193
Ac 7.515 3.382 6.391
Bi 2.579 3.382 2.602
Bi 4.984 1.127 6.976
As 0.180 1.127 6.308
As 7.384 3.382 3.270
O 2.167 3.382 8.698
O 5.397 1.127 0.880

***

(5)
! Ac4BiAs2P | Alexandria | PBE | relaxed; values from VASP
! Calculated total energy   -5.693 eV/atom
! Calculated volume   34.6 Å³ per atom
! Mass density   7.8 Mg/m³
! ΔH_f (0 K)   -1315 meV/atom
&SYSTEM
  ibrav = 0, nat = 8, ntyp = 4
/
ATOMIC_SPECIES
Ac 227.00 Ac.upf
Bi 208.98 Bi.upf
As 74.92 As.upf
P 30.97 P.upf
CELL_PARAMETERS angstrom
7.979 0.000 0.000
0.000 4.603 0.000
-2.656 0.000 7.545
ATOMIC_POSITIONS angstrom
Ac 1.291 0.000 1.779
Ac -0.038 2.302 5.731
Ac 5.362 2.302 1.814
Ac 4.033 0.000 5.766
Bi 2.662 2.302 3.773
As -1.328 0.000 3.773
As 0.000 2.302 0.000
P 3.990 0.000 0.000

***

(6)
! Ac4Bi2AsP | Alexandria | PBE | relaxed; values from VASP
! Calculated total energy   -5.491 eV/atom
! Calculated volume   36.4 Å³ per atom
! Mass density   8.2 Mg/m³
! ΔH_f (0 K)   -1209 meV/atom
&SYSTEM
  ibrav = 0, nat = 8, ntyp = 4
/
ATOMIC_SPECIES
Ac 227.00 Ac.upf
Bi 208.98 Bi.upf
As 74.92 As.upf
P 30.97 P.upf
CELL_PARAMETERS angstrom
8.078 0.000 0.000
0.000 4.665 0.000
-2.688 0.000 7.720
ATOMIC_POSITIONS angstrom
Ac 1.325 0.000 1.757
Ac -0.021 2.332 5.951
Ac 5.410 2.332 1.769
Ac 4.065 0.000 5.963
Bi -1.344 0.000 3.860
Bi 2.695 2.332 3.860
As 4.039 0.000 0.000
P 0.000 2.332 0.000

***

(7)
! AcBiAsP | Alexandria | PBE | relaxed; values from VASP
! Calculated total energy   -4.966 eV/atom
! Calculated volume   26.2 Å³ per atom
! Mass density   8.6 Mg/m³
! ΔH_f (0 K)   -454 meV/atom
&SYSTEM
  ibrav = 0, nat = 16, ntyp = 4
/
ATOMIC_SPECIES
Ac 227.00 Ac.upf
Bi 208.98 Bi.upf
As 74.92 As.upf
P 30.97 P.upf
CELL_PARAMETERS angstrom
7.481 0.000 0.000
0.000 7.481 0.000
0.000 0.000 7.481
ATOMIC_POSITIONS angstrom
Ac 0.000 0.000 0.000
Ac 0.000 3.741 3.741
Ac 3.741 0.000 3.741
Ac 3.741 3.741 0.000
Bi 0.000 0.000 3.741
Bi 0.000 3.741 0.000
Bi 3.741 0.000 0.000
Bi 3.741 3.741 3.741
As 1.870 1.870 5.611
As 1.870 5.611 1.870
As 5.611 1.870 1.870
As 5.611 5.611 5.611
P 1.870 1.870 1.870
P 1.870 5.611 5.611
P 5.611 1.870 5.611
P 5.611 5.611 1.870

***

(8)
! AcBiAsPb | Alexandria | PBE | relaxed; values from VASP
! Calculated total energy   -4.493 eV/atom
! Calculated volume   31.2 Å³ per atom
! Mass density   9.6 Mg/m³
! ΔH_f (0 K)   -406 meV/atom
&SYSTEM
  ibrav = 0, nat = 16, ntyp = 4
/
ATOMIC_SPECIES
Ac 227.00 Ac.upf
Bi 208.98 Bi.upf
As 74.92 As.upf
Pb 207.20 Pb.upf
CELL_PARAMETERS angstrom
7.931 0.000 0.000
0.000 7.931 0.000
0.000 0.000 7.931
ATOMIC_POSITIONS angstrom
Ac 0.000 0.000 0.000
Ac 0.000 3.966 3.966
Ac 3.966 0.000 3.966
Ac 3.966 3.966 0.000
Bi 1.983 1.983 1.983
Bi 1.983 5.949 5.949
Bi 5.949 1.983 5.949
Bi 5.949 5.949 1.983
As 1.983 1.983 5.949
As 1.983 5.949 1.983
As 5.949 1.983 1.983
As 5.949 5.949 5.949
Pb 0.000 0.000 3.966
Pb 0.000 3.966 0.000
Pb 3.966 0.000 0.000
Pb 3.966 3.966 3.966

***

(9)
! Ac3BiAs2Pd6 | Alexandria | PBE | relaxed; values from VASP
! Calculated total energy   -5.502 eV/atom
! Calculated volume   25.0 Å³ per atom
! Mass density   9.3 Mg/m³
! ΔH_f (0 K)   -781 meV/atom
&SYSTEM
  ibrav = 0, nat = 12, ntyp = 4
/
ATOMIC_SPECIES
Ac 227.00 Ac.upf
Bi 208.98 Bi.upf
As 74.92 As.upf
Pd 106.42 Pd.upf
CELL_PARAMETERS angstrom
5.839 0.000 0.000
-2.919 5.056 0.000
0.000 0.000 10.143
ATOMIC_POSITIONS angstrom
Ac 0.000 0.000 0.000
Ac 0.000 3.371 6.361
Ac 2.919 1.685 3.782
Bi 0.000 0.000 5.071
As 0.000 3.371 0.949
As 2.919 1.685 9.193
Pd 0.000 1.708 2.806
Pd -1.440 4.203 2.806
Pd 1.479 0.854 7.336
Pd 1.440 4.203 2.806
Pd 4.360 0.854 7.336
Pd 2.919 3.349 7.336

***

(10)
! AcBiAs2Pd5 | Alexandria | PBE | relaxed; values from VASP
! Calculated total energy   -5.265 eV/atom
! Calculated volume   22.7 Å³ per atom
! Mass density   9.1 Mg/m³
! ΔH_f (0 K)   -459 meV/atom
&SYSTEM
  ibrav = 0, nat = 9, ntyp = 4
/
ATOMIC_SPECIES
Ac 227.00 Ac.upf
Bi 208.98 Bi.upf
As 74.92 As.upf
Pd 106.42 Pd.upf
CELL_PARAMETERS angstrom
4.400 0.000 0.000
0.000 4.400 0.000
0.000 0.000 10.543
ATOMIC_POSITIONS angstrom
Ac 0.000 0.000 0.000
Bi 0.000 0.000 5.272
As 2.200 2.200 2.376
As 2.200 2.200 8.167
Pd 0.000 2.200 3.480
Pd 0.000 2.200 7.063
Pd 2.200 0.000 3.480
Pd 2.200 0.000 7.063
Pd 2.200 2.200 0.000

***

(11)
! Ac3BiAs2Pd9 | Alexandria | PBE | relaxed; values from VASP
! Calculated total energy   -5.403 eV/atom
! Calculated volume   23.6 Å³ per atom
! Mass density   9.4 Mg/m³
! ΔH_f (0 K)   -587 meV/atom
&SYSTEM
  ibrav = 0, nat = 15, ntyp = 4
/
ATOMIC_SPECIES
Ac 227.00 Ac.upf
Bi 208.98 Bi.upf
As 74.92 As.upf
Pd 106.42 Pd.upf
CELL_PARAMETERS angstrom
7.119 0.000 0.000
-3.560 6.166 0.000
0.000 0.000 8.075
ATOMIC_POSITIONS angstrom
Ac 0.000 0.000 0.000
Ac 0.000 4.110 5.584
Ac 3.560 2.055 2.492
Bi 0.000 0.000 4.038
As 0.000 4.110 1.215
As 3.560 2.055 6.860
Pd -1.780 3.083 0.000
Pd 0.000 2.424 2.975
Pd -1.460 4.954 2.975
Pd 2.099 1.212 5.101
Pd 3.560 0.000 0.000
Pd 1.780 3.083 0.000
Pd 1.460 4.954 2.975
Pd 5.020 1.212 5.101
Pd 3.560 3.742 5.101

***

(12)
! Ac2BiAsPd6 | Alexandria | PBE | relaxed; values from VASP
! Calculated total energy   -5.453 eV/atom
! Calculated volume   22.9 Å³ per atom
! Mass density   10.0 Mg/m³
! ΔH_f (0 K)   -663 meV/atom
&SYSTEM
  ibrav = 0, nat = 10, ntyp = 4
/
ATOMIC_SPECIES
Ac 227.00 Ac.upf
Bi 208.98 Bi.upf
As 74.92 As.upf
Pd 106.42 Pd.upf
CELL_PARAMETERS angstrom
5.611 0.000 0.000
2.799 6.124 0.000
2.803 0.394 6.671
ATOMIC_POSITIONS angstrom
Ac 2.804 1.801 1.535
Ac 8.409 4.717 5.135
Bi 0.000 0.000 0.000
As 5.606 3.259 3.335
Pd 4.223 1.937 4.921
Pd 5.604 5.780 3.922
Pd 4.216 4.580 1.752
Pd 6.996 1.938 4.919
Pd 5.609 0.738 2.749
Pd 6.990 4.581 1.750